[1]
K2CuBiCl6: relaxed, PBE.

Structure (CIF):
```
data_K2CuBiCl6
_space_group_name_H-M_alt 'F m -3 m'
_space_group_IT_number 225
_space_group_name_Hall '-F 4 2 3'
_cell_length_a 10.390
_cell_length_b 10.390
_cell_length_c 10.390
_cell_angle_alpha 90.00
_cell_angle_beta 90.00
_cell_angle_gamma 90.00
loop_
_atom_site_label
_atom_site_fract_x
_atom_site_fract_y
_atom_site_fract_z
K1 0.250 0.250 0.250
Cu1 0.000 0.000 0.000
Bi1 0.000 0.000 0.500
Cl1 0.000 0.000 0.238
```

[2]
# HfCuAgPb, relaxed, DFT PBE
# Total moment, Bohr magnetons per cell: 0.00
# E above lowest polymorph, meV per atom: 0.0
data_HfCuAgPb
_space_group_name_H-M_alt 'F -4 3 m'
_space_group_IT_number 216
_space_group_name_Hall 'F -4 2 3'
_cell_length_a 6.784
_cell_length_b 6.784
_cell_length_c 6.784
_cell_angle_alpha 90.00
_cell_angle_beta 90.00
_cell_angle_gamma 90.00
loop_
_atom_site_label
_atom_site_fract_x
_atom_site_fract_y
_atom_site_fract_z
Hf1 0.000 0.000 0.000
Cu1 0.250 0.250 0.750
Ag1 0.250 0.250 0.250
Pb1 0.000 0.000 0.500

[3]
# SmGd2DyAl2, relaxed, DFT PBE
# Total moment, Bohr magnetons per cell: 0.10
data_SmGd2DyAl2
_space_group_name_H-M_alt 'P -6 m 2'
_space_group_IT_number 187
_space_group_name_Hall 'P -6 2'
_cell_length_a 5.2800
_cell_length_b 5.2800
_cell_length_c 6.7264
_cell_angle_alpha 90.00
_cell_angle_beta 90.00
_cell_angle_gamma 120.00
loop_
_atom_site_label
_atom_site_fract_x
_atom_site_fract_y
_atom_site_fract_z
Sm1 0.0000 0.0000 0.0000
Gd1 0.6667 0.3333 0.2536
Dy1 0.3333 0.6667 0.5000
Al1 0.0000 0.0000 0.5000
Al2 0.3333 0.6667 0.0000

[4]
# ZnInCuNi, relaxed, DFT PBE
# Total moment, Bohr magnetons per cell: 0.01
# E above lowest polymorph, meV per atom: 97.7
data_ZnInCuNi
_space_group_name_H-M_alt 'F -4 3 m'
_space_group_IT_number 216
_space_group_name_Hall 'F -4 2 3'
_cell_length_a 6.129
_cell_length_b 6.129
_cell_length_c 6.129
_cell_angle_alpha 90.00
_cell_angle_beta 90.00
_cell_angle_gamma 90.00
loop_
_atom_site_label
_atom_site_fract_x
_atom_site_fract_y
_atom_site_fract_z
Zn1 0.000 0.000 0.000
In1 0.250 0.250 0.250
Cu1 0.250 0.250 0.750
Ni1 0.000 0.000 0.500

[5]
CuF2: relaxed, PBE.

Structure (CIF):
```
data_CuF2
_space_group_name_H-M_alt 'P 1'
_space_group_IT_number 1
_space_group_name_Hall 'P 1'
_cell_length_a 3.019
_cell_length_b 3.331
_cell_length_c 3.927
_cell_angle_alpha 73.39
_cell_angle_beta 67.51
_cell_angle_gamma 63.14
loop_
_atom_site_label
_atom_site_fract_x
_atom_site_fract_y
_atom_site_fract_z
Cu1 0.000 0.000 0.000
F1 0.256 0.245 0.243
F2 0.742 0.758 0.755
```

[6]
# NbBPO, relaxed, DFT PBE
# Total moment, Bohr magnetons per cell: 0.00
# E above lowest polymorph, meV per atom: 138.2
data_NbBPO
_space_group_name_H-M_alt 'P m c 21'
_space_group_IT_number 26
_space_group_name_Hall 'P 2c -2'
_cell_length_a 2.661
_cell_length_b 6.421
_cell_length_c 5.412
_cell_angle_alpha 90.00
_cell_angle_beta 90.00
_cell_angle_gamma 90.00
loop_
_atom_site_label
_atom_site_fract_x
_atom_site_fract_y
_atom_site_fract_z
Nb1 0.000 0.060 0.000
B1 0.500 0.370 0.435
P1 0.500 0.349 0.798
O1 0.000 0.261 0.348

[7]
CdP4O11: relaxed, PBE.

Structure (CIF):
```
data_CdP4O11
_space_group_name_H-M_alt 'P -1'
_space_group_IT_number 2
_space_group_name_Hall '-P 1'
_cell_length_a 9.213
_cell_length_b 9.266
_cell_length_c 10.524
_cell_angle_alpha 108.25
_cell_angle_beta 108.36
_cell_angle_gamma 90.35
loop_
_atom_site_label
_atom_site_fract_x
_atom_site_fract_y
_atom_site_fract_z
Cd1 0.220 0.266 0.482
Cd2 0.270 0.759 0.026
P1 0.081 0.446 0.745
P2 0.101 0.239 0.916
P3 0.109 0.915 0.778
P4 0.237 0.584 0.395
P5 0.246 0.916 0.553
P6 0.425 0.086 0.286
P7 0.427 0.235 0.077
P8 0.453 0.561 0.236
O1 0.032 0.746 0.037
O2 0.043 0.173 0.265
O3 0.058 0.327 0.605
O4 0.093 0.094 0.785
O5 0.095 0.528 0.252
O6 0.145 0.373 0.870
O7 0.164 0.027 0.492
O8 0.175 0.857 0.647
O9 0.176 0.595 0.797
O10 0.229 0.526 0.508
O11 0.235 0.927 0.912
O12 0.248 0.243 0.048
O13 0.257 0.765 0.435
O14 0.302 0.956 0.228
O15 0.324 0.573 0.114
O16 0.380 0.536 0.351
O17 0.410 0.324 0.693
O18 0.412 0.236 0.387
O19 0.418 0.981 0.644
O20 0.470 0.199 0.948
O21 0.471 0.118 0.159
O22 0.491 0.608 0.808
```

[8]
# SrScGa4Pt2, relaxed, DFT PBE
# Total moment, Bohr magnetons per cell: 0.01
data_SrScGa4Pt2
_space_group_name_H-M_alt 'A m m 2'
_space_group_IT_number 38
_space_group_name_Hall 'A 2 -2'
_cell_length_a 6.854
_cell_length_b 4.336
_cell_length_c 10.189
_cell_angle_alpha 90.00
_cell_angle_beta 90.00
_cell_angle_gamma 90.00
loop_
_atom_site_label
_atom_site_fract_x
_atom_site_fract_y
_atom_site_fract_z
Sr1 0.000 0.000 0.000
Sc1 0.500 0.000 0.841
Ga1 0.207 0.000 0.288
Ga2 0.311 0.000 0.558
Pt1 0.000 0.000 0.714
Pt2 0.500 0.000 0.126

[9]
# HfNbGe2P2, relaxed, DFT PBE
# Total moment, Bohr magnetons per cell: 0.00
data_HfNbGe2P2
_space_group_name_H-M_alt 'P 4 m m'
_space_group_IT_number 99
_space_group_name_Hall 'P 4 -2'
_cell_length_a 3.557
_cell_length_b 3.557
_cell_length_c 8.002
_cell_angle_alpha 90.00
_cell_angle_beta 90.00
_cell_angle_gamma 90.00
loop_
_atom_site_label
_atom_site_fract_x
_atom_site_fract_y
_atom_site_fract_z
Hf1 0.000 0.000 0.000
Nb1 0.500 0.500 0.448
Ge1 0.000 0.500 0.716
P1 0.000 0.000 0.333
P2 0.500 0.500 0.116

[10]
# TcI2O, relaxed, DFT PBE
# Total moment, Bohr magnetons per cell: 0.03
data_TcI2O
_space_group_name_H-M_alt 'C 1 2/m 1'
_space_group_IT_number 12
_space_group_name_Hall '-C 2y'
_cell_length_a 14.338
_cell_length_b 3.756
_cell_length_c 8.114
_cell_angle_alpha 90.00
_cell_angle_beta 107.39
_cell_angle_gamma 90.00
loop_
_atom_site_label
_atom_site_fract_x
_atom_site_fract_y
_atom_site_fract_z
Tc1 0.000 0.000 0.250
I1 0.135 0.000 0.072
I2 0.136 0.000 0.571
O1 0.000 0.500 0.249

[11]
# Ga2AgIr2, relaxed, DFT PBE
# Total moment, Bohr magnetons per cell: 0.00
data_Ga2AgIr2
_space_group_name_H-M_alt 'I 4/m m m'
_space_group_IT_number 139
_space_group_name_Hall '-I 4 2'
_cell_length_a 3.952
_cell_length_b 3.952
_cell_length_c 11.175
_cell_angle_alpha 90.00
_cell_angle_beta 90.00
_cell_angle_gamma 90.00
loop_
_atom_site_label
_atom_site_fract_x
_atom_site_fract_y
_atom_site_fract_z
Ga1 0.000 0.500 0.250
Ag1 0.000 0.000 0.000
Ir1 0.000 0.000 0.386

[12]
AlCuF6: relaxed, PBE.

Structure (CIF):
```
data_AlCuF6
_space_group_name_H-M_alt 'F -4 3 m'
_space_group_IT_number 216
_space_group_name_Hall 'F -4 2 3'
_cell_length_a 6.955
_cell_length_b 6.955
_cell_length_c 6.955
_cell_angle_alpha 90.00
_cell_angle_beta 90.00
_cell_angle_gamma 90.00
loop_
_atom_site_label
_atom_site_fract_x
_atom_site_fract_y
_atom_site_fract_z
Al1 0.000 0.000 0.000
Cu1 0.250 0.250 0.750
F1 0.000 0.000 0.252
```

[13]
Na2Hg3S4: relaxed, PBE.

Structure (CIF):
```
data_Na2Hg3S4
_space_group_name_H-M_alt 'P b c a'
_space_group_IT_number 61
_space_group_name_Hall '-P 2ac 2ab'
_cell_length_a 7.528
_cell_length_b 14.158
_cell_length_c 8.376
_cell_angle_alpha 90.00
_cell_angle_beta 90.00
_cell_angle_gamma 90.00
loop_
_atom_site_label
_atom_site_fract_x
_atom_site_fract_y
_atom_site_fract_z
Na1 0.065 0.107 0.118
Hg1 0.000 0.000 0.500
Hg2 0.230 0.694 0.777
S1 0.010 0.730 0.103
S2 0.238 0.017 0.844
```

[14]
# Er2LuSc3P2Os, relaxed, DFT PBE
# Total moment, Bohr magnetons per cell: 0.08
data_Er2LuSc3P2Os
_space_group_name_H-M_alt 'A m m 2'
_space_group_IT_number 38
_space_group_name_Hall 'A 2 -2'
_cell_length_a 4.038
_cell_length_b 12.712
_cell_length_c 7.367
_cell_angle_alpha 90.00
_cell_angle_beta 90.00
_cell_angle_gamma 90.00
loop_
_atom_site_label
_atom_site_fract_x
_atom_site_fract_y
_atom_site_fract_z
Er1 0.000 0.205 0.000
Lu1 0.000 0.000 0.384
Sc1 0.500 0.000 0.033
Sc2 0.500 0.123 0.672
P1 0.500 0.165 0.294
Os1 0.000 0.000 0.786

[15]
# Tl2NiPd3S6, relaxed, DFT PBE
# Total moment, Bohr magnetons per cell: 0.00
data_Tl2NiPd3S6
_space_group_name_H-M_alt 'P -3 m 1'
_space_group_IT_number 164
_space_group_name_Hall '-P 3 2"'
_cell_length_a 6.9595
_cell_length_b 6.9595
_cell_length_c 6.0885
_cell_angle_alpha 90.00
_cell_angle_beta 90.00
_cell_angle_gamma 120.00
loop_
_atom_site_label
_atom_site_fract_x
_atom_site_fract_y
_atom_site_fract_z
Tl1 0.3333 0.6667 0.1114
Ni1 0.0000 0.0000 0.5000
Pd1 0.0000 0.5000 0.5000
S1 0.1622 0.3244 0.6970

[16]
# HfScPbC, relaxed, DFT PBE
# Total moment, Bohr magnetons per cell: 0.01
# E above lowest polymorph, meV per atom: 0.0
data_HfScPbC
_space_group_name_H-M_alt 'P 63 m c'
_space_group_IT_number 186
_space_group_name_Hall 'P 6c -2c'
_cell_length_a 3.3837
_cell_length_b 3.3837
_cell_length_c 14.9077
_cell_angle_alpha 90.00
_cell_angle_beta 90.00
_cell_angle_gamma 120.00
loop_
_atom_site_label
_atom_site_fract_x
_atom_site_fract_y
_atom_site_fract_z
Hf1 0.3333 0.6667 0.0000
Sc1 0.3333 0.6667 0.3393
Pb1 0.3333 0.6667 0.6690
C1 0.0000 0.0000 0.4228

[17]
# Sr2LiOsN6, relaxed, DFT PBE
# Total moment, Bohr magnetons per cell: 1.47
# E above lowest polymorph, meV per atom: 0.0
data_Sr2LiOsN6
_space_group_name_H-M_alt 'I 4/m'
_space_group_IT_number 87
_space_group_name_Hall '-I 4'
_cell_length_a 5.603
_cell_length_b 5.603
_cell_length_c 7.937
_cell_angle_alpha 90.00
_cell_angle_beta 90.00
_cell_angle_gamma 90.00
loop_
_atom_site_label
_atom_site_fract_x
_atom_site_fract_y
_atom_site_fract_z
Sr1 0.000 0.500 0.250
Li1 0.000 0.000 0.000
Os1 0.000 0.000 0.500
N1 0.000 0.000 0.255
N2 0.239 0.749 0.500

[18]
# SmHo2ErAl2, relaxed, DFT PBE
# Total moment, Bohr magnetons per cell: 0.06
data_SmHo2ErAl2
_space_group_name_H-M_alt 'P -6 m 2'
_space_group_IT_number 187
_space_group_name_Hall 'P -6 2'
_cell_length_a 5.2306
_cell_length_b 5.2306
_cell_length_c 6.6553
_cell_angle_alpha 90.00
_cell_angle_beta 90.00
_cell_angle_gamma 120.00
loop_
_atom_site_label
_atom_site_fract_x
_atom_site_fract_y
_atom_site_fract_z
Sm1 0.0000 0.0000 0.0000
Ho1 0.6667 0.3333 0.2542
Er1 0.3333 0.6667 0.5000
Al1 0.0000 0.0000 0.5000
Al2 0.3333 0.6667 0.0000

[19]
# Tm2Ag3Au, relaxed, DFT PBE
# Total moment, Bohr magnetons per cell: 0.00
# Formation enthalpy at 0 K, meV/atom: -497
data_Tm2Ag3Au
_space_group_name_H-M_alt 'P 4 m m'
_space_group_IT_number 99
_space_group_name_Hall 'P 4 -2'
_cell_length_a 3.683
_cell_length_b 3.683
_cell_length_c 9.120
_cell_angle_alpha 90.00
_cell_angle_beta 90.00
_cell_angle_gamma 90.00
loop_
_atom_site_label
_atom_site_fract_x
_atom_site_fract_y
_atom_site_fract_z
Tm1 0.000 0.000 0.000
Tm2 0.500 0.500 0.490
Ag1 0.000 0.000 0.668
Ag2 0.500 0.500 0.162
Ag3 0.500 0.500 0.828
Au1 0.000 0.000 0.335

[20]
# Pr3In3NiPtAu, relaxed, DFT PBE
# Total moment, Bohr magnetons per cell: 0.00
data_Pr3In3NiPtAu
_space_group_name_H-M_alt 'P -6'
_space_group_IT_number 174
_space_group_name_Hall 'P -6'
_cell_length_a 7.8462
_cell_length_b 7.8462
_cell_length_c 4.0012
_cell_angle_alpha 90.00
_cell_angle_beta 90.00
_cell_angle_gamma 120.00
loop_
_atom_site_label
_atom_site_fract_x
_atom_site_fract_y
_atom_site_fract_z
Pr1 0.0112 0.5956 0.0000
In1 0.2400 0.0009 0.5000
Ni1 0.0000 0.0000 0.0000
Pt1 0.3333 0.6667 0.5000
Au1 0.6667 0.3333 0.5000

The records above yield raw total energy values of -3.344; -4.835; -4.606; -3.297; -3.801; -7.491; -6.770; -4.768; -7.292; -5.166; -5.311; -4.126; -2.713; -6.934; -4.584; -7.959; -6.161; -4.587; -3.946; -4.897 eV per atom, respectively.